1.
Computed, not measured: a geometry-optimized AlPtPb structure at the PBE level of DFT.

Structure (POSCAR):
```
AlPtPb
1.0
6.313 0.028 -0.020
4.592 4.332 0.020
-5.446 -2.198 2.318
Al Pt Pb
1 1 1
direct
0.042 0.042 0.000
0.630 0.630 0.000
0.327 0.327 0.000
```

Calculated values
Calculated formation energy, eV per atom: -0.34
SG: I4mm, No. 107



2.
Computed, not measured: a geometry-optimized AlPtPb structure at the PBE level of DFT.

Structure (POSCAR):
```
AlPtPb
1.0
-1.740 -2.862 -2.280
2.351 1.059 -3.125
5.134 -4.882 2.209
Pb Al Pt
2 2 2
direct
0.000 0.500 0.872
0.500 0.000 0.128
0.500 0.500 0.500
0.000 0.000 0.500
0.500 0.000 0.704
0.000 0.500 0.296
```

Calculated values
Calculated formation energy, eV per atom: -0.60
SG: P4/nmm, No. 129



3.
Computed, not measured: a geometry-optimized AlPtPb3 structure at the PBE level of DFT.

Structure (POSCAR):
```
AlPtPb3
1.0
5.426 0.000 0.000
0.000 5.426 0.000
0.000 0.000 5.426
Al Pb Pt
1 3 1
direct
0.500 0.500 0.500
0.500 0.000 0.000
0.000 0.500 0.000
0.000 0.000 0.500
0.000 0.000 0.000
```

Calculated values
Calculated formation energy, eV per atom: 0.34
Energy relative to the lowest polymorph listed for this composition, meV per atom: 0.0
SG: Pm-3m, No. 221



4.
Computed, not measured: a geometry-optimized Al4PtPb structure at the PBE level of DFT.

Structure (POSCAR):
```
Al4PtPb
1.0
0.000 3.838 3.838
3.838 0.000 3.838
3.838 3.838 0.000
Al Pb Pt
4 1 1
direct
0.375 0.375 0.375
0.375 0.876 0.375
0.375 0.375 0.876
0.876 0.375 0.375
0.750 0.750 0.750
0.000 0.000 0.000
```

Calculated values
Calculated formation energy, eV per atom: 0.15
SG: F-43m, No. 216



5.
Computed, not measured: a geometry-optimized AlPtPb structure at the PBE level of DFT.

Structure (POSCAR):
```
AlPtPb
1.0
4.256 0.000 0.000
-2.128 3.686 0.000
0.000 0.000 4.197
Al Pt Pb
1 1 1
direct
0.000 0.000 0.834
0.333 0.667 0.833
0.667 0.333 0.333
```

Calculated values
Calculated formation energy, eV per atom: -0.30
SG: P-6m2, No. 187



6.
Computed, not measured: a geometry-optimized AlPt6Pb structure at the PBE level of DFT.

Structure (POSCAR):
```
AlPt6Pb
1.0
4.025 0.000 0.000
0.000 4.025 0.000
0.000 0.000 8.078
Pt Al Pb
6 1 1
direct
0.500 0.500 0.000
0.500 0.000 0.270
0.000 0.500 0.270
0.500 0.500 0.500
0.500 0.000 0.730
0.000 0.500 0.730
0.000 0.000 0.500
0.000 0.000 0.000
```

Calculated values
Calculated formation energy, eV per atom: -0.41
SG: P4/mmm, No. 123



7.
Computed, not measured: a geometry-optimized AlPtPb3 structure at the PBE level of DFT.

Structure (POSCAR):
```
AlPtPb3
1.0
-4.439 -1.891 -2.159
2.843 -3.442 -2.831
-0.393 -3.538 3.907
Pb Al Pt
3 1 1
direct
0.000 0.000 0.500
0.000 0.500 0.000
0.500 0.000 0.000
0.000 0.000 0.000
0.500 0.500 0.500
```

Calculated values
Calculated formation energy, eV per atom: 0.71
Energy relative to the lowest polymorph listed for this composition, meV per atom: 368.7
SG: Pm-3m, No. 221



8.
Computed, not measured: a geometry-optimized AlPtPb4 structure at the PBE level of DFT.

Structure (POSCAR):
```
AlPtPb4
1.0
-3.973 -4.570 -1.659
-3.488 -2.865 4.364
-6.195 0.995 0.217
Pb Al Pt
4 1 1
direct
0.375 0.874 0.375
0.375 0.375 0.375
0.375 0.375 0.874
0.874 0.375 0.375
0.000 0.000 0.000
0.750 0.750 0.750
```

Calculated values
Calculated formation energy, eV per atom: 0.60
SG: F-43m, No. 216



9.
Computed, not measured: a geometry-optimized AlPt4Pb structure at the PBE level of DFT.

Structure (POSCAR):
```
AlPt4Pb
1.0
-4.415 2.648 1.596
-3.344 2.115 -3.660
-4.872 -2.172 -0.772
Pb Pt Al
1 4 1
direct
0.000 0.000 0.000
0.874 0.375 0.375
0.375 0.375 0.874
0.375 0.874 0.375
0.375 0.375 0.375
0.750 0.750 0.750
```

Calculated values
Calculated formation energy, eV per atom: -0.17
SG: F-43m, No. 216



10.
Computed, not measured: a geometry-optimized Al2PtPb2 structure at the PBE level of DFT.

Structure (POSCAR):
```
Al2PtPb2
1.0
6.640 0.000 0.000
0.000 6.640 0.000
0.000 0.000 5.126
Pt Pb Al
2 4 4
direct
0.500 0.500 0.000
0.000 0.000 0.000
0.177 0.677 0.500
0.677 0.823 0.500
0.823 0.323 0.500
0.323 0.177 0.500
0.854 0.646 0.000
0.354 0.854 0.000
0.146 0.354 0.000
0.646 0.146 0.000
```

Calculated values
Calculated formation energy, eV per atom: -0.14
SG: P4/mbm, No. 127



11.
Computed, not measured: a geometry-optimized AlPtPb structure at the PBE level of DFT.

Structure (POSCAR):
```
AlPtPb
1.0
4.520 0.000 0.000
2.260 3.915 0.000
2.260 1.305 3.691
Pb Pt Al
1 1 1
direct
0.500 0.500 0.500
0.250 0.250 0.250
0.000 0.000 0.000
```

Calculated values
Calculated formation energy, eV per atom: -0.36
SG: F-43m, No. 216



12.
Computed, not measured: a geometry-optimized Al2RuPtPb structure at the PBE level of DFT.

Structure (POSCAR):
```
Al2RuPtPb
1.0
-3.105 0.405 -3.468
-2.967 -3.642 2.232
-2.255 3.311 2.405
Al Pb Pt Ru
2 1 1 1
direct
0.000 0.000 0.500
0.500 0.000 0.000
0.500 0.500 0.500
0.000 0.000 0.000
0.000 0.500 0.000
```

Calculated values
Calculated formation energy, eV per atom: 0.34
SG: P4/mmm, No. 123



13.
Computed, not measured: a geometry-optimized Al2PtPbS structure at the PBE level of DFT.

Structure (POSCAR):
```
Al2PtPbS
1.0
5.348 0.000 0.000
0.000 5.056 0.000
0.000 0.000 5.348
Pt S Al Pb
1 1 2 1
direct
0.000 0.500 0.000
0.500 0.500 0.500
0.500 0.000 0.000
0.000 0.000 0.500
0.000 0.000 0.000
```

Calculated values
Formation energy without anion corrections, eV per atom: 1.097
SG: P4/mmm, No. 123



14.
Computed, not measured: a geometry-optimized AlTe2PtPb structure at the PBE level of DFT.

Structure (POSCAR):
```
AlTe2PtPb
1.0
5.211 0.000 0.000
0.000 5.290 0.000
0.000 0.000 5.211
Pt Pb Al Te
1 1 1 2
direct
0.500 0.500 0.500
0.000 0.500 0.000
0.000 0.000 0.000
0.500 0.000 0.000
0.000 0.000 0.500
```

Calculated values
Formation energy without anion corrections, eV per atom: 0.717
SG: P4/mmm, No. 123



15.
Computed, not measured: a geometry-optimized Zr2AlPtPb structure at the PBE level of DFT.

Structure (POSCAR):
```
Zr2AlPtPb
1.0
5.327 0.000 0.000
0.000 5.156 0.000
0.000 0.000 5.327
Zr Al Pt Pb
2 1 1 1
direct
0.000 0.000 0.500
0.500 0.000 0.000
0.500 0.500 0.500
0.000 0.000 0.000
0.000 0.500 0.000
```

Calculated values
Calculated formation energy, eV per atom: 0.41
Energy relative to the lowest polymorph listed for this composition, meV per atom: 0.0
SG: P4/mmm, No. 123



16.
Computed, not measured: a geometry-optimized Zr2AlPtPb structure at the PBE level of DFT.

Structure (POSCAR):
```
Zr2AlPtPb
1.0
5.539 0.000 0.000
0.000 4.799 0.000
0.000 0.000 5.539
Al Pt Zr Pb
1 1 2 1
direct
0.000 0.500 0.000
0.500 0.500 0.500
0.000 0.000 0.500
0.500 0.000 0.000
0.000 0.000 0.000
```

Calculated values
Calculated formation energy, eV per atom: 1.27
Energy relative to the lowest polymorph listed for this composition, meV per atom: 859.2
SG: P4/mmm, No. 123



17.
Computed, not measured: a geometry-optimized PuAl2Pb structure at the PBE level of DFT.

Structure (POSCAR):
```
PuAl2Pb
1.0
-2.812 -1.859 2.848
2.326 -3.845 -0.213
2.571 1.365 3.430
Al Pb Pu
2 1 1
direct
0.000 0.500 0.000
0.000 0.000 0.500
0.500 0.500 0.500
0.500 0.000 0.000
```

Calculated values
Calculated formation energy, eV per atom: -0.14
SG: P4/mmm, No. 123



18.
Computed, not measured: a geometry-optimized Pu2AlPb structure at the PBE level of DFT.

Structure (POSCAR):
```
Pu2AlPb
1.0
4.730 0.000 0.000
0.000 4.569 0.000
0.000 0.000 4.569
Pu Al Pb
2 1 1
direct
0.000 0.500 0.000
0.000 0.000 0.500
0.500 0.500 0.500
0.500 0.000 0.000
```

Calculated values
Calculated formation energy, eV per atom: -0.13
SG: P4/mmm, No. 123



19.
Computed, not measured: a geometry-optimized PuAlPb2 structure at the PBE level of DFT.

Structure (POSCAR):
```
PuAlPb2
1.0
4.992 0.000 0.000
2.496 4.323 0.000
2.496 1.441 5.021
Pb Al Pu
2 1 1
direct
0.765 0.765 0.704
0.235 0.235 0.296
0.500 0.500 0.500
0.000 0.000 0.000
```

Calculated values
Calculated formation energy, eV per atom: 0.13
Energy relative to the lowest polymorph listed for this composition, meV per atom: 224.0
SG: R-3m, No. 166



20.
Computed, not measured: a geometry-optimized PuAlPb structure at the PBE level of DFT.

Structure (POSCAR):
```
PuAlPb
1.0
-1.597 -1.849 -1.867
4.738 -3.459 -0.628
-2.368 -4.404 6.387
Pb Pu Al
2 2 2
direct
0.000 0.750 0.330
0.000 0.250 0.670
0.500 0.250 0.296
0.500 0.750 0.704
0.000 0.000 0.000
0.000 0.500 0.000
```

Calculated values
Calculated formation energy, eV per atom: -0.09
Energy relative to the lowest polymorph listed for this composition, meV per atom: 0.0
SG: Pmma, No. 51